<A>
Material: CeNd2Sm8
Method: DFT, PBE
State: optimized geometry

Output
D(E_F): 19.7 states/eV per cell
space group: C2/m, No. 12
M_tot: 1.0 Bohr magnetons per cell

```
CeNd2Sm8
1.0
4.957 0.000 -1.320
-0.532 7.858 -1.998
-0.097 -0.076 9.603
Ce Nd Sm
1 2 8
direct
0.500 0.000 0.000
0.228 0.638 0.456
0.772 0.362 0.544
0.590 0.452 0.180
0.320 0.092 0.640
0.135 0.178 0.269
0.045 0.731 0.089
0.865 0.822 0.731
0.680 0.908 0.360
0.410 0.548 0.820
0.955 0.269 0.911
```

---

<B>
Material: CeNd2Sm8
Method: DFT, PBE
State: optimized geometry

Output
D(E_F): 21.5 states/eV per cell
space group: C2/m, No. 12
M_tot: 1.2 Bohr magnetons per cell

```
CeNd2Sm8
1.0
5.663 -0.640 -0.447
0.757 9.922 2.633
0.757 5.887 8.410
Ce Nd Sm
1 2 8
direct
0.000 0.000 0.000
0.745 0.283 0.283
0.255 0.717 0.717
0.267 0.136 0.606
0.267 0.606 0.136
0.733 0.864 0.394
0.237 0.545 0.545
0.733 0.394 0.864
0.232 0.185 0.185
0.768 0.815 0.815
0.763 0.455 0.455
```

---

Stability ranking, top and bottom: <A> is the most stable and <B> is the least stable.

---

<A>
Material: CeNd2Sm
Method: DFT, PBE
State: optimized geometry

Output
D(E_F): 8.2 states/eV per cell
space group: R3m, No. 160
M_tot: 0.6 Bohr magnetons per cell

```
CeNd2Sm
1.0
-3.183 -0.400 1.684
-2.791 -1.521 -1.739
1.374 -11.216 3.828
Ce Nd Sm
1 2 1
direct
0.667 0.667 0.000
0.081 0.081 0.756
0.252 0.252 0.244
0.500 0.500 0.500
```

---

<B>
Material: CeNd2Sm
Method: DFT, PBE
State: optimized geometry

Output
D(E_F): 10.9 states/eV per cell
space group: Fm-3m, No. 225
M_tot: 3.1 Bohr magnetons per cell

```
CeNd2Sm
1.0
-4.945 3.008 0.119
-4.646 -2.173 2.684
-1.840 2.350 4.961
Nd Ce Sm
2 1 1
direct
0.250 0.250 0.250
0.750 0.750 0.750
0.000 0.000 0.000
0.500 0.500 0.500
```

---

Stability ranking, top and bottom: <A> is the most stable and <B> is the least stable.

---

<A>
Material: CeNd2Sm
Method: DFT, PBE
State: optimized geometry

Output
D(E_F): 7.9 states/eV per cell
space group: P4/mmm, No. 123
M_tot: 0.6 Bohr magnetons per cell

```
CeNd2Sm
1.0
3.591 0.000 0.000
0.000 3.591 0.000
0.000 0.000 10.329
Nd Ce Sm
2 1 1
direct
0.000 0.000 0.740
0.000 0.000 0.260
0.500 0.500 0.500
0.500 0.500 0.000
```

---

<B>
Material: CeNd2Sm
Method: DFT, PBE
State: optimized geometry

Output
D(E_F): 8.9 states/eV per cell
space group: P4/mmm, No. 123
M_tot: 0.7 Bohr magnetons per cell

```
CeNd2Sm
1.0
5.122 0.000 0.000
0.000 5.124 0.000
0.000 0.000 5.124
Nd Ce Sm
2 1 1
direct
0.000 0.000 0.500
0.000 0.500 0.000
0.500 0.500 0.500
0.500 0.000 0.000
```

---

<C>
Material: CeNd2Sm
Method: DFT, PBE
State: optimized geometry

Output
D(E_F): 8.1 states/eV per cell
space group: R-3m, No. 166
M_tot: 0.9 Bohr magnetons per cell

```
CeNd2Sm
1.0
3.498 0.000 0.000
1.749 3.030 0.000
1.749 1.010 12.633
Nd Ce Sm
2 1 1
direct
0.088 0.088 0.737
0.912 0.912 0.263
0.000 0.000 0.000
0.500 0.500 0.500
```

---

Stability ranking, top and bottom: <A> is the most stable and <C> is the least stable.

---

<A>
Material: Ce2NdSm
Method: DFT, PBE
State: optimized geometry

Output
D(E_F): 10.7 states/eV per cell
space group: R3m, No. 160
M_tot: 1.4 Bohr magnetons per cell

```
Ce2NdSm
1.0
-2.030 -2.578 -1.329
1.496 -2.819 -1.534
0.045 -7.298 9.368
Ce Nd Sm
2 1 1
direct
0.084 0.084 0.749
0.249 0.249 0.252
0.668 0.668 0.996
0.499 0.499 0.503
```

---

<B>
Material: Ce2NdSm
Method: DFT, PBE
State: optimized geometry

Output
D(E_F): 16.6 states/eV per cell
space group: Fm-3m, No. 225
M_tot: 3.7 Bohr magnetons per cell

```
Ce2NdSm
1.0
5.723 0.000 0.000
2.862 4.956 0.000
2.862 1.652 4.673
Nd Ce Sm
1 2 1
direct
0.500 0.500 0.500
0.250 0.250 0.250
0.750 0.750 0.750
0.000 0.000 0.000
```

---

Stability ranking, top and bottom: <A> is the most stable and <B> is the least stable.

---

<A>
Material: Ce2NdSm
Method: DFT, PBE
State: optimized geometry

Output
D(E_F): 10.7 states/eV per cell
space group: P4/mmm, No. 123
M_tot: 1.6 Bohr magnetons per cell

```
Ce2NdSm
1.0
5.145 0.000 0.000
0.000 4.957 0.000
0.000 0.000 4.957
Nd Ce Sm
1 2 1
direct
0.500 0.000 0.000
0.000 0.000 0.500
0.000 0.500 0.000
0.500 0.500 0.500
```

---

<B>
Material: Ce2NdSm
Method: DFT, PBE
State: optimized geometry

Output
D(E_F): 10.9 states/eV per cell
space group: R-3m, No. 166
M_tot: 1.6 Bohr magnetons per cell

```
Ce2NdSm
1.0
-0.097 2.762 -2.018
-2.973 1.037 -1.339
-2.988 8.448 8.805
Nd Ce Sm
1 2 1
direct
0.500 0.500 0.500
0.086 0.086 0.742
0.914 0.914 0.258
0.000 0.000 0.000
```

---

Stability ranking, top and bottom: <A> is the most stable and <B> is the least stable.

---

<A>
Material: Ce2NdSn
Method: DFT, PBE
State: optimized geometry

Output
D(E_F): 10.2 states/eV per cell
space group: P4/mmm, No. 123
M_tot: 2.1 Bohr magnetons per cell

```
Ce2NdSn
1.0
-0.390 3.820 -1.764
-2.752 1.109 3.009
5.177 2.320 3.881
Nd Sn Ce
1 1 2
direct
0.500 0.500 0.000
0.500 0.500 0.500
0.000 0.000 0.701
0.000 0.000 0.299
```

---

<B>
Material: Ce2NdSn
Method: DFT, PBE
State: optimized geometry

Output
D(E_F): 15.9 states/eV per cell
space group: P2_1/m, No. 11
M_tot: 0.0 Bohr magnetons per cell

```
Ce2NdSn
1.0
4.545 0.000 0.043
0.000 4.425 0.000
-2.067 0.000 11.467
Ce Nd Sn
4 2 2
direct
0.608 0.250 0.114
0.392 0.750 0.886
0.000 0.750 0.114
0.000 0.250 0.886
0.699 0.750 0.390
0.301 0.250 0.610
0.178 0.250 0.324
0.822 0.750 0.676
```

---

<C>
Material: Ce2NdSn
Method: DFT, PBE
State: optimized geometry

Output
D(E_F): 13.3 states/eV per cell
space group: Fm-3m, No. 225
M_tot: 2.3 Bohr magnetons per cell

```
Ce2NdSn
1.0
5.493 0.000 0.000
2.747 4.757 0.000
2.747 1.586 4.485
Nd Sn Ce
1 1 2
direct
0.500 0.500 0.500
0.000 0.000 0.000
0.250 0.250 0.250
0.750 0.750 0.750
```

---

<D>
Material: Ce2NdSn
Method: DFT, PBE
State: optimized geometry

Output
D(E_F): 10.4 states/eV per cell
space group: P4/mmm, No. 123
M_tot: 1.8 Bohr magnetons per cell

```
Ce2NdSn
1.0
-2.595 -4.324 0.079
2.002 -1.126 4.154
-3.544 2.169 2.295
Nd Sn Ce
1 1 2
direct
0.500 0.500 0.500
0.500 0.000 0.000
0.000 0.000 0.500
0.000 0.500 0.000
```

---

Stability ranking, top and bottom: <B> is the most stable and <C> is the least stable.